Record 1
A plane-wave DFT calculation with GGA-PBE was carried out for a relaxed Sb4TePb6 crystal.

* space-group type: Cmcm
* crystal system: orthorhombic
* magnetization: 0.0 μB per formula unit
* formation energy from raw total energies: -0.019 eV per atom
* N(E_F): 5.37 states/eV/f.u.
* energy: -3.826 eV per atom

Cell lengths 4.5647, 7.8156, 22.3784 Å; angles 90.00, 90.00, 106.98 degrees
Last column: nearest neighbours and their distance in Å.
Fractional positions:
Sb (0.8650, 0.7300, 0.5462)  6 Pb 3.06-3.22
Sb (0.4118, 0.8236, 0.1303)  6 Pb 3.06-3.26
Sb (0.1350, 0.2700, 0.4538)  6 Pb 3.06-3.22
Sb (0.5882, 0.1764, 0.8697)  6 Pb 3.06-3.26
Sb (0.8650, 0.7300, 0.9538)  6 Pb 3.06-3.22
Sb (0.1350, 0.2700, 0.0462)  6 Pb 3.06-3.22
Sb (0.5882, 0.1764, 0.6303)  6 Pb 3.06-3.26
Sb (0.4118, 0.8236, 0.3697)  6 Pb 3.06-3.26
Te (0.6752, 0.3503, 0.2500)  2 Pb 3.07
Te (0.3248, 0.6497, 0.7500)  2 Pb 3.07
Pb (0.5000, 0.0000, 0.0000)  6 Sb 3.20-3.22
Pb (0.5000, 0.0000, 0.5000)  6 Sb 3.20-3.22
Pb (0.0423, 0.0846, 0.3321)  3 Sb 3.06-3.12
Pb (0.9577, 0.9154, 0.6679)  3 Sb 3.06-3.12
Pb (0.9577, 0.9154, 0.8321)  3 Sb 3.06-3.12
Pb (0.0423, 0.0846, 0.1679)  3 Sb 3.06-3.12
Pb (0.7757, 0.5514, 0.4199)  5 Sb 3.12-3.26
Pb (0.2243, 0.4486, 0.5801)  5 Sb 3.12-3.26
Pb (0.2243, 0.4486, 0.9199)  5 Sb 3.12-3.26
Pb (0.7757, 0.5514, 0.0801)  5 Sb 3.12-3.26
Pb (0.3127, 0.6253, 0.2500)  2 Sb 3.06, 2 Te 3.07
Pb (0.6873, 0.3747, 0.7500)  2 Sb 3.06, 2 Te 3.07

=====

Record 2
A plane-wave DFT calculation with GGA-PBE was carried out for a relaxed SbTePb2 crystal.

* space-group type: Cmmm
* crystal system: orthorhombic
* magnetization: 0.0 μB per formula unit
* formation energy from raw total energies: -0.012 eV per atom
* N(E_F): 2.17 states/eV/f.u.
* energy: -3.682 eV per atom

Cell lengths 5.5186, 5.5186, 4.1613 Å; angles 90.00, 90.00, 102.44 degrees
Last column: nearest neighbours and their distance in Å.
Fractional positions:
Pb (0.0000, 0.0000, 0.0000)  4 Sb 3.46, 4 Te 3.46, 2 Pb 3.46
Pb (0.5000, 0.5000, 0.0000)  4 Te 3.46, 4 Sb 3.46, 2 Pb 3.46
Sb (0.5000, 0.0000, 0.5000)  8 Pb 3.46, 2 Te 3.46
Te (0.0000, 0.5000, 0.5000)  8 Pb 3.46, 2 Sb 3.46